w | The following is a meta-GGA SCAN calculation of a PBEsol-optimized structure of Li2CaLa, from Alexandria.

Lattice parameters (Å, degrees): 3.776 3.776 8.072 90.00 90.00 90.00
Space group P4/mmm (No. 123)
Unique sites:
Li 0.000 0.000 0.248 (multiplicity 2)
Ca 0.500 0.500 0.500 (multiplicity 1)
La 0.500 0.500 0.000 (multiplicity 1)

Summary:
M_tot in μB per formula unit: 0.25

x | The following is a meta-GGA SCAN calculation of a PBEsol-optimized structure of Li2CaLa, from Alexandria.

Lattice parameters (Å, degrees): 3.682 3.682 8.433 90.00 90.00 90.00
Space group P4mm (No. 99)
Unique sites:
Li 0.000 0.000 0.000 (multiplicity 1)
Li 0.500 0.500 0.154 (multiplicity 1)
Ca 0.000 0.000 0.417 (multiplicity 1)
La 0.500 0.500 0.744 (multiplicity 1)

Summary:
M_tot in μB per formula unit: 0.29

y | The following is a meta-GGA SCAN calculation of a PBEsol-optimized structure of Li2CaLa, from Alexandria.

Lattice parameters (Å, degrees): 3.543 5.695 11.351 90.00 90.00 90.00
Space group Imm2 (No. 44)
Unique sites:
Li 0.000 0.000 0.000 (multiplicity 2)
Li 0.000 0.500 0.314 (multiplicity 2)
Ca 0.000 0.500 0.759 (multiplicity 2)
La 0.000 0.000 0.555 (multiplicity 2)

Summary:
M_tot in μB per formula unit: 0.71

Tell me which of them is the most stable. Sure, it is x.

w | The following is a meta-GGA SCAN calculation of a PBEsol-optimized structure of CaLa2Mo, from Alexandria.

Lattice parameters (Å, degrees): 3.581 3.581 8.675 90.00 90.00 90.00
Space group P4mm (No. 99)
Unique sites:
Ca 0.000 0.000 0.000 (multiplicity 1)
La 0.000 0.000 0.612 (multiplicity 1)
La 0.500 0.500 0.355 (multiplicity 1)
Mo 0.500 0.500 0.773 (multiplicity 1)

Summary:
M_tot in μB per formula unit: 0.00

x | The following is a meta-GGA SCAN calculation of a PBEsol-optimized structure of CaLa2Mo, from Alexandria.

Lattice parameters (Å, degrees): 3.610 5.405 11.688 90.00 90.00 90.00
Space group Imm2 (No. 44)
Unique sites:
Ca 0.000 0.000 0.000 (multiplicity 2)
La 0.000 0.000 0.608 (multiplicity 2)
La 0.000 0.500 0.801 (multiplicity 2)
Mo 0.000 0.500 0.270 (multiplicity 2)

Summary:
M_tot in μB per formula unit: 0.00

Tell me which of them is the most stable. Sure, it is x.

w | The following is a meta-GGA SCAN calculation of a PBEsol-optimized structure of CaLa2Ni2, from Alexandria.

Lattice parameters (Å, degrees): 7.743 7.743 3.936 90.00 90.00 90.00
Space group P4/mbm (No. 127)
Unique sites:
Ca 0.000 0.000 0.000 (multiplicity 2)
La 0.160 0.340 0.500 (multiplicity 4)
Ni 0.120 0.620 0.000 (multiplicity 4)

Summary:
M_tot in μB per formula unit: 0.00

x | The following is a meta-GGA SCAN calculation of a PBEsol-optimized structure of CaLa2Ni2, from Alexandria.

Lattice parameters (Å, degrees): 5.035 5.035 10.554 90.00 90.00 90.00
Space group I4/mmm (No. 139)
Unique sites:
Ca 0.000 0.000 0.000 (multiplicity 2)
La 0.000 0.000 0.337 (multiplicity 4)
Ni 0.000 0.500 0.250 (multiplicity 4)

Summary:
M_tot in μB per formula unit: 0.00

Tell me which of them is the most stable. Sure, it is w.

w | The following is a meta-GGA SCAN calculation of a PBEsol-optimized structure of CaLa2Ni, from Alexandria.

Lattice parameters (Å, degrees): 3.8950 3.8950 29.3273 90.00 90.00 120.00
Space group R-3m (No. 166, hexagonal axes)
Unique sites:
Ca 0.0000 0.0000 0.0000 (multiplicity 3)
La 0.0000 0.0000 0.2223 (multiplicity 6)
Ni 0.0000 0.0000 0.5000 (multiplicity 3)

Summary:
M_tot in μB per formula unit: 0.31

x | The following is a meta-GGA SCAN calculation of a PBEsol-optimized structure of CaLa2Ni, from Alexandria.

Lattice parameters (Å, degrees): 6.272 10.646 3.475 90.00 115.36 90.00
Space group C2/m (No. 12)
Unique sites:
Ca 0.000 0.000 0.000 (multiplicity 2)
La 0.250 0.250 0.500 (multiplicity 4)
Ni 0.000 0.500 0.000 (multiplicity 2)

Summary:
M_tot in μB per formula unit: 0.00

y | The following is a meta-GGA SCAN calculation of a PBEsol-optimized structure of CaLa2Ni, from Alexandria.

Lattice parameters (Å, degrees): 7.479 7.479 7.479 90.00 90.00 90.00
Space group Fm-3m (No. 225)
Unique sites:
Ca 0.000 0.000 0.000 (multiplicity 4)
La 0.250 0.250 0.250 (multiplicity 8)
Ni 0.000 0.000 0.500 (multiplicity 4)

Summary:
M_tot in μB per formula unit: 0.85

Tell me which of them is the most stable. Sure, it is w.

w | The following is a meta-GGA SCAN calculation of a PBEsol-optimized structure of CaLa2Os, from Alexandria.

Lattice parameters (Å, degrees): 4.915 4.937 10.161 90.00 90.00 90.00
Space group Cmmm (No. 65)
Unique sites:
Ca 0.000 0.000 0.000 (multiplicity 2)
La 0.000 0.500 0.330 (multiplicity 4)
Os 0.000 0.000 0.500 (multiplicity 2)

Summary:
M_tot in μB per formula unit: 0.16

x | The following is a meta-GGA SCAN calculation of a PBEsol-optimized structure of CaLa2Os, from Alexandria.

Lattice parameters (Å, degrees): 3.577 4.735 15.015 90.00 90.00 90.00
Space group Amm2 (No. 38)
Unique sites:
Ca 0.000 0.000 0.000 (multiplicity 2)
La 0.000 0.000 0.675 (multiplicity 2)
La 0.500 0.000 0.336 (multiplicity 2)
Os 0.500 0.000 0.166 (multiplicity 2)

Summary:
M_tot in μB per formula unit: 0.28

y | The following is a meta-GGA SCAN calculation of a PBEsol-optimized structure of CaLa2Os, from Alexandria.

Lattice parameters (Å, degrees): 4.1286 4.1286 28.4816 90.00 90.00 120.00
Space group R-3m (No. 166, hexagonal axes)
Unique sites:
Ca 0.0000 0.0000 0.0000 (multiplicity 3)
La 0.0000 0.0000 0.2188 (multiplicity 6)
Os 0.0000 0.0000 0.5000 (multiplicity 3)

Summary:
M_tot in μB per formula unit: 0.02

Tell me which of them is the most stable. Sure, it is y.

w | The following is a meta-GGA SCAN calculation of a PBEsol-optimized structure of CaLaOs2, from Alexandria.

Lattice parameters (Å, degrees): 5.951 9.292 2.954 90.00 113.39 90.00
Space group C2/m (No. 12)
Unique sites:
Ca 0.000 0.000 0.000 (multiplicity 2)
La 0.000 0.500 0.000 (multiplicity 2)
Os 0.250 0.250 0.500 (multiplicity 4)

Summary:
M_tot in μB per formula unit: 0.00

x | The following is a meta-GGA SCAN calculation of a PBEsol-optimized structure of CaLaOs2, from Alexandria.

Lattice parameters (Å, degrees): 3.132 3.132 8.151 90.00 90.00 90.00
Space group P4/mmm (No. 123)
Unique sites:
Ca 0.000 0.000 0.000 (multiplicity 1)
La 0.000 0.000 0.500 (multiplicity 1)
Os 0.500 0.500 0.249 (multiplicity 2)

Summary:
M_tot in μB per formula unit: 0.00

Tell me which of them is the most stable. Sure, it is w.

w | The following is a meta-GGA SCAN calculation of a PBEsol-optimized structure of CaLaRh, from Alexandria.

Lattice parameters (Å, degrees): 4.929 4.936 13.317 90.00 90.00 90.00
Space group Fmm2 (No. 42)
Unique sites:
Ca 0.000 0.000 0.000 (multiplicity 4)
La 0.000 0.000 0.251 (multiplicity 4)
Rh 0.000 0.000 0.637 (multiplicity 4)

Summary:
M_tot in μB per formula unit: 0.00

x | The following is a meta-GGA SCAN calculation of a PBEsol-optimized structure of CaLaRh, from Alexandria.

Lattice parameters (Å, degrees): 4.0330 4.0330 6.5098 90.00 90.00 120.00
Space group P3m1 (No. 156)
Unique sites:
Ca 0.0000 0.0000 0.0000 (multiplicity 1)
La 0.3333 0.6667 0.4757 (multiplicity 1)
Rh 0.6667 0.3333 0.2601 (multiplicity 1)

Summary:
M_tot in μB per formula unit: 0.00

Tell me which of them is the most stable. Sure, it is x.

w | The following is a meta-GGA SCAN calculation of a PBEsol-optimized structure of CaLa2Sc, from Alexandria.

Lattice parameters (Å, degrees): 3.546 5.053 7.176 90.00 90.00 90.00
Space group Pmm2 (No. 25)
Unique sites:
Ca 0.000 0.000 0.000 (multiplicity 1)
La 0.000 0.000 0.510 (multiplicity 1)
La 0.500 0.500 0.286 (multiplicity 1)
Sc 0.500 0.500 0.746 (multiplicity 1)

Summary:
M_tot in μB per formula unit: 0.11

x | The following is a meta-GGA SCAN calculation of a PBEsol-optimized structure of CaLa2Sc, from Alexandria.

Lattice parameters (Å, degrees): 3.683 5.868 11.930 90.00 90.00 90.00
Space group Cmm2 (No. 35)
Unique sites:
Ca 0.000 0.000 0.000 (multiplicity 2)
La 0.000 0.000 0.533 (multiplicity 2)
La 0.000 0.500 0.271 (multiplicity 2)
Sc 0.000 0.500 0.760 (multiplicity 2)

Summary:
M_tot in μB per formula unit: 0.00

y | The following is a meta-GGA SCAN calculation of a PBEsol-optimized structure of CaLa2Sc, from Alexandria.

Lattice parameters (Å, degrees): 3.5583 3.5583 35.1944 90.00 90.00 120.00
Space group R-3m (No. 166, hexagonal axes)
Unique sites:
Ca 0.0000 0.0000 0.0000 (multiplicity 3)
La 0.0000 0.0000 0.2428 (multiplicity 6)
Sc 0.0000 0.0000 0.5000 (multiplicity 3)

Summary:
M_tot in μB per formula unit: 0.05

z | The following is a meta-GGA SCAN calculation of a PBEsol-optimized structure of CaLa2Sc, from Alexandria.

Lattice parameters (Å, degrees): 3.608 3.608 9.948 90.00 90.00 90.00
Space group P4mm (No. 99)
Unique sites:
Ca 0.000 0.000 0.000 (multiplicity 1)
La 0.000 0.000 0.538 (multiplicity 1)
La 0.500 0.500 0.293 (multiplicity 1)
Sc 0.500 0.500 0.754 (multiplicity 1)

Summary:
M_tot in μB per formula unit: 0.14

Tell me which of them is the most stable. Sure, it is y.

w | The following is a meta-GGA SCAN calculation of a PBEsol-optimized structure of CaLa2Sc, from Alexandria.

Lattice parameters (Å, degrees): 3.661 3.661 9.815 90.00 90.00 90.00
Space group P4/mmm (No. 123)
Unique sites:
Ca 0.000 0.000 0.000 (multiplicity 1)
La 0.500 0.500 0.279 (multiplicity 2)
Sc 0.000 0.000 0.500 (multiplicity 1)

Summary:
M_tot in μB per formula unit: 0.04

x | The following is a meta-GGA SCAN calculation of a PBEsol-optimized structure of CaLa2Sc, from Alexandria.

Lattice parameters (Å, degrees): 3.893 5.785 11.557 90.00 90.00 90.00
Space group Imm2 (No. 44)
Unique sites:
Ca 0.000 0.000 0.000 (multiplicity 2)
La 0.000 0.000 0.533 (multiplicity 2)
La 0.000 0.500 0.767 (multiplicity 2)
Sc 0.000 0.500 0.266 (multiplicity 2)

Summary:
M_tot in μB per formula unit: 0.00

Tell me which of them is the most stable. Sure, it is w.

w | The following is a meta-GGA SCAN calculation of a PBEsol-optimized structure of CaLaSe2, from Alexandria.

Lattice parameters (Å, degrees): 4.1791 4.1791 20.7800 90.00 90.00 120.00
Space group R-3m (No. 166, hexagonal axes)
Unique sites:
Ca 0.0000 0.0000 0.0000 (multiplicity 3)
La 0.0000 0.0000 0.5000 (multiplicity 3)
Se 0.0000 0.0000 0.2538 (multiplicity 6)

Summary:
M_tot in μB per formula unit: 0.00

x | The following is a meta-GGA SCAN calculation of a PBEsol-optimized structure of CaLaSe2, from Alexandria.

Lattice parameters (Å, degrees): 4.210 4.210 5.963 90.00 90.00 90.00
Space group P4/mmm (No. 123)
Unique sites:
Ca 0.000 0.000 0.000 (multiplicity 1)
La 0.500 0.500 0.500 (multiplicity 1)
Se 0.000 0.000 0.500 (multiplicity 1)
Se 0.500 0.500 0.000 (multiplicity 1)

Summary:
M_tot in μB per formula unit: 0.00

Tell me which of them is the most stable. Sure, it is x.

w | The following is a meta-GGA SCAN calculation of a PBEsol-optimized structure of Ca2LaTa, from Alexandria.

Lattice parameters (Å, degrees): 3.358 5.456 13.118 90.00 90.00 90.00
Space group Immm (No. 71)
Unique sites:
Ca 0.000 0.000 0.203 (multiplicity 4)
La 0.000 0.500 0.000 (multiplicity 2)
Ta 0.000 0.500 0.500 (multiplicity 2)

Summary:
M_tot in μB per formula unit: 0.00

x | The following is a meta-GGA SCAN calculation of a PBEsol-optimized structure of Ca2LaTa, from Alexandria.

Lattice parameters (Å, degrees): 7.705 7.705 7.705 90.00 90.00 90.00
Space group Fm-3m (No. 225)
Unique sites:
Ca 0.250 0.250 0.250 (multiplicity 8)
La 0.000 0.000 0.000 (multiplicity 4)
Ta 0.000 0.000 0.500 (multiplicity 4)

Summary:
M_tot in μB per formula unit: 2.01

Tell me which of them is the most stable. Sure, it is w.

w | The following is a meta-GGA SCAN calculation of a PBEsol-optimized structure of CaLa2Ta, from Alexandria.

Lattice parameters (Å, degrees): 3.289 6.001 11.879 90.00 90.00 90.00
Space group Immm (No. 71)
Unique sites:
Ca 0.000 0.000 0.000 (multiplicity 2)
La 0.000 0.500 0.210 (multiplicity 4)
Ta 0.000 0.000 0.500 (multiplicity 2)

Summary:
M_tot in μB per formula unit: 0.00

x | The following is a meta-GGA SCAN calculation of a PBEsol-optimized structure of CaLa2Ta, from Alexandria.

Lattice parameters (Å, degrees): 3.305 4.976 6.851 90.00 90.00 90.00
Space group Pmm2 (No. 25)
Unique sites:
Ca 0.000 0.000 0.000 (multiplicity 1)
La 0.000 0.000 0.542 (multiplicity 1)
La 0.500 0.500 0.296 (multiplicity 1)
Ta 0.500 0.500 0.752 (multiplicity 1)

Summary:
M_tot in μB per formula unit: 0.00

Tell me which of them is the most stable. Sure, it is w.